CrNiAg2F: relaxed, PBE with a Hubbard U.

## Properties
total energy: -16.88 eV per cell
total magnetization: 5.81 μB/f.u.

Cell lengths 4.8423, 3.8330, 4.8423 Å; angles 90.00, 90.00, 90.00 degrees
Last column: magnetic moment on the atom in μB.
Element x y z (fractional)
Ni  0.0000  0.5000  0.0000  0.97
Cr  0.5000  0.5000  0.5000  4.29
Ag  0.5000  0.0000  0.0000  0.05
F  0.0000  0.0000  0.0000  0.01
Ag  0.0000  0.0000  0.5000  0.03